(1)
Computed, not measured: crystalline NiH6IrPb2 at its relaxed geometry at the PBE level of DFT.

Cell and atoms, written as POSCAR:
```
NiH6IrPb2
1.0
-2.2421 -4.2594 1.0006
3.6661 -2.4415 -2.1780
2.8847 -3.5766 3.3205
Ni H Ir Pb
1 6 1 2
direct
0.0000 0.0000 0.0000
0.1735 0.1735 0.6530
0.7502 0.7501 0.0000
0.2498 0.7501 0.0000
0.7502 0.2499 0.0000
0.2498 0.2499 0.0000
0.8265 0.8265 0.3470
0.5000 0.5000 0.0000
0.7497 0.2497 0.5006
0.2503 0.7503 0.4994
```

Calculated values
space group = I4/mmm, No. 139

(2)
Computed, not measured: crystalline NiH6IrPb at its relaxed geometry at the PBE level of DFT.

Cell and atoms, written as POSCAR:
```
NiH6IrPb
1.0
-1.4467 4.3923 0.9961
-4.5325 0.8120 0.9856
0.8407 -0.7497 4.6046
Ni H Ir Pb
1 6 1 1
direct
0.6670 0.6664 0.5000
0.9991 0.3974 0.3042
0.4002 0.9980 0.6972
0.6010 0.3971 0.6964
0.9982 0.6037 0.6959
0.4003 0.6023 0.3030
0.6008 0.0017 0.3033
0.3317 0.3344 0.5000
0.0015 0.9990 0.9999
```

Calculated values
space group = C2, No. 5

| no. | energy (eV per atom) | density (g/cm3) |
| --- | --- | --- |
| 1 | -4.05 | 10.31 |
| 2 | -4.19 | 8.42 |